[1]
Here is a relaxed ZrUNb2C4 crystal from Alexandria. Energies are from GGA-PBE.

Computed properties:
- total energy (eV per atom) = -10.1652
- calculated density (Mg/m³) = 9.21
- volume (Å³ per cell) = 101.5
- SG = P2/m (10)

Structure (POSCAR):
```
ZrUNb2C4
1.0
5.7095 0.0000 0.0000
0.0000 3.2768 0.0000
-1.8849 0.0000 5.4265
Zr U Nb C
1 1 2 4
Direct
0.0000 0.0000 0.0000
0.5000 0.5000 0.0000
0.0000 0.5000 0.5000
0.5000 0.0000 0.5000
0.2453 0.0000 0.7365
0.2573 0.5000 0.2589
0.7427 0.5000 0.7411
0.7547 0.0000 0.2635
```


[2]
Here is a relaxed Zr2ScAl6 crystal from Alexandria. Energies are from GGA-PBE.

Computed properties:
- relative energy among the computed polymorphs (eV per atom) = 0.195
- calculated density (Mg/m³) = 3.53
- volume (Å³ per cell) = 183.3
- SG = Immm (71)

Structure (POSCAR):
```
Zr2ScAl6
1.0
-2.1126 3.2535 6.6681
2.1126 -3.2535 6.6681
2.1126 3.2535 -6.6681
Zr Sc Al
2 1 6
Direct
0.1157 0.1157 0.0000
0.8843 0.8843 0.0000
0.5000 0.0000 0.5000
0.0986 0.3086 0.7900
0.2009 0.5000 0.7009
0.4814 0.6914 0.7900
0.5186 0.3086 0.2100
0.7991 0.5000 0.2991
0.9014 0.6914 0.2100
```


[3]
Here is a relaxed Na2PuGaGe2 crystal from Alexandria. Energies are from GGA-PBE.

Computed properties:
- total energy (eV per atom) = -5.1195
- calculated density (Mg/m³) = 6.09
- volume (Å³ per cell) = 275.6
- SG = Pmc2_1 (26)

Structure (POSCAR):
```
Na2PuGaGe2
1.0
4.3207 0.0000 0.0000
0.0000 8.7739 0.0000
0.0000 0.0000 7.2694
Na Pu Ga Ge
4 2 2 4
Direct
0.0000 0.0847 0.0000
0.0000 0.9153 0.5000
0.5000 0.1559 0.3185
0.5000 0.8441 0.8185
0.5000 0.4544 0.9698
0.5000 0.5456 0.4698
0.0000 0.3248 0.6278
0.0000 0.6752 0.1278
0.0000 0.3849 0.2508
0.0000 0.6151 0.7508
0.5000 0.1817 0.7222
0.5000 0.8183 0.2222
```


[4]
Here is a relaxed LiTiGaNi crystal from Alexandria. Energies are from GGA-PBE.

Computed properties:
- total energy (eV per atom) = -5.1271
- calculated density (Mg/m³) = 5.90
- volume (Å³ per cell) = 206.2
- SG = F-43m (216)

Structure (POSCAR):
```
LiTiGaNi
1.0
5.9080 0.0000 0.0000
0.0000 5.9080 0.0000
0.0000 0.0000 5.9080
Li Ti Ga Ni
4 4 4 4
Direct
0.0000 0.0000 0.0000
0.0000 0.5000 0.5000
0.5000 0.0000 0.5000
0.5000 0.5000 0.0000
0.2500 0.2500 0.7500
0.2500 0.7500 0.2500
0.7500 0.2500 0.2500
0.7500 0.7500 0.7500
0.2500 0.2500 0.2500
0.2500 0.7500 0.7500
0.7500 0.2500 0.7500
0.7500 0.7500 0.2500
0.0000 0.0000 0.5000
0.0000 0.5000 0.0000
0.5000 0.0000 0.0000
0.5000 0.5000 0.5000
```


[5]
Here is a relaxed Tm2ThRuN4 crystal from Alexandria. Energies are from GGA-PBE.

Computed properties:
- total energy (eV per atom) = -8.5297
- calculated density (Mg/m³) = 10.70
- volume (Å³ per cell) = 225.6
- SG = Cmcm (63)

Structure (POSCAR):
```
Tm2ThRuN4
1.0
1.7025 -5.8236 0.0000
1.7025 5.8236 0.0000
0.0000 0.0000 11.3751
Tm Th Ru N
4 2 2 8
Direct
0.1298 0.8702 0.5477
0.1298 0.8702 0.9523
0.8702 0.1298 0.0477
0.8702 0.1298 0.4523
0.3854 0.6146 0.7500
0.6146 0.3854 0.2500
0.3563 0.6437 0.2500
0.6437 0.3563 0.7500
0.0432 0.9568 0.7500
0.2277 0.7723 0.1266
0.2277 0.7723 0.3734
0.5000 0.5000 0.0000
0.5000 0.5000 0.5000
0.7723 0.2277 0.6266
0.7723 0.2277 0.8734
0.9568 0.0432 0.2500
```


[6]
Here is a relaxed Tb3CdPt8 crystal from Alexandria. Energies are from GGA-PBE.

Computed properties:
- total energy (eV per atom) = -6.2443
- calculated density (Mg/m³) = 15.80
- volume (Å³ per cell) = 225.9
- SG = R3m (160)

Structure (POSCAR):
```
Tb3CdPt8
1.0
2.7115 1.5655 8.8684
-2.7115 1.5655 8.8684
0.0000 -3.1310 8.8684
Tb Cd Pt
3 1 8
Direct
0.0000 0.0000 0.0000
0.1284 0.1284 0.1284
0.5131 0.5131 0.5131
0.6346 0.6346 0.6346
0.0689 0.0689 0.5645
0.0689 0.5645 0.0689
0.0701 0.5690 0.5690
0.3182 0.3182 0.3182
0.5645 0.0689 0.0689
0.5690 0.0701 0.5690
0.5690 0.5690 0.0701
0.8182 0.8182 0.8182
```